[1]
# HfNiSb

An optimized crystal structure of HfNiSb (PBE, Alexandria).

abc: 4.143 6.673 7.697
angles: 90.00 90.00 90.00
Fractional coordinates of all 12 atoms:
Hf: 0.250 0.501 0.691
Hf: 0.250 0.001 0.809
Hf: 0.750 0.999 0.191
Hf: 0.750 0.499 0.309
Sb: 0.250 0.796 0.408
Sb: 0.250 0.296 0.092
Sb: 0.750 0.204 0.592
Sb: 0.750 0.704 0.908
Ni: 0.250 0.689 0.091
Ni: 0.750 0.311 0.909
Ni: 0.250 0.189 0.409
Ni: 0.750 0.811 0.591

Calculated values
Crystal system: orthorhombic
Space-group type: Pnma (62)
Uncorrected formation energy: -0.51 eV/atom
Mass density: 11.21 g/cm³

---

[2]
# HfNi15Sb4

An optimized crystal structure of HfNi15Sb4 (PBE, Alexandria).

abc: 3.736 3.736 18.595
angles: 90.00 90.00 90.00
Fractional coordinates of all 20 atoms:
Sb: 0.000 0.000 0.400
Sb: 0.000 0.000 0.800
Sb: 0.000 0.000 0.600
Sb: 0.000 0.000 0.200
Ni: 0.500 0.500 0.799
Ni: 0.000 0.500 0.300
Ni: 0.500 0.000 0.300
Ni: 0.500 0.000 0.500
Ni: 0.500 0.500 0.399
Ni: 0.500 0.000 0.900
Ni: 0.000 0.500 0.900
Ni: 0.500 0.000 0.700
Ni: 0.500 0.500 0.000
Ni: 0.000 0.500 0.700
Ni: 0.500 0.500 0.601
Ni: 0.000 0.500 0.500
Ni: 0.500 0.500 0.201
Ni: 0.000 0.500 0.100
Ni: 0.500 0.000 0.100
Hf: 0.000 0.000 0.000

Calculated values
Crystal system: tetragonal
Space-group type: P4/mmm (123)
Uncorrected formation energy: -0.22 eV/atom
Mass density: 9.89 g/cm³